! CePuCdSi PBE-GGA relaxed; values from VASP
! - formation energy without anion corrections (eV per formula unit) = -0.676
! - energy (eV per atom) = -6.8201
! - SG = F-43m (216)
&SYSTEM
  ibrav = 0, nat = 4, ntyp = 4
/
ATOMIC_SPECIES
Si 28.09 Si.upf
Cd 112.41 Cd.upf
Ce 140.12 Ce.upf
Pu 244.00 Pu.upf
ATOMIC_POSITIONS angstrom
Si 0.0000 0.0000 0.0000
Cd 5.1807 2.9911 2.1150
Ce 7.7711 4.4866 3.1725
Pu 2.5904 1.4955 1.0575
CELL_PARAMETERS angstrom
5.1807 0.0000 0.0000
2.5904 4.4866 0.0000
2.5904 1.4955 4.2300

! CdFe4As12 PBE-GGA relaxed; values from VASP
! - formation energy (eV/atom) = -0.118
! - energy (eV per atom) = -5.4455
! - SG = Im-3 (204)
&SYSTEM
  ibrav = 0, nat = 17, ntyp = 3
/
ATOMIC_SPECIES
Cd 112.41 Cd.upf
Fe 55.84 Fe.upf
As 74.92 As.upf
ATOMIC_POSITIONS angstrom
Cd 0.0000 0.0000 0.0000
Fe 3.5954 0.5214 0.0608
Fe -1.0714 -0.6547 -3.4097
Fe 1.6762 -2.9730 -1.2466
Fe -0.8478 -2.8397 2.1023
As 0.3193 -1.8266 -4.9431
As 2.5622 -0.7984 -1.6273
As -1.7575 -4.6428 -2.7436
As -0.8100 -5.0631 1.2574
As 5.1099 -1.3032 0.2505
As 0.7902 -5.1476 -0.8658
As -0.5407 -2.4273 -1.9147
As 3.8931 -3.5187 -0.5784
As 4.1624 -0.8829 -3.7505
As 2.0614 -3.2965 -3.5716
As 1.2911 -2.6496 1.0785
As 3.0331 -4.1194 2.4500
CELL_PARAMETERS angstrom
-2.1429 -1.3094 -6.8193
7.1908 1.0428 0.1216
-1.6955 -5.6794 4.2047

! Ag2As2I PBE-GGA relaxed; values from VASP
! - relative energy among the computed polymorphs (eV per formula unit) = 0.48
! - formation energy without anion corrections (eV per formula unit) = 1.432
! - energy (eV per atom) = -3.0238
! - SG = I4/mmm (139)
&SYSTEM
  ibrav = 0, nat = 5, ntyp = 3
/
ATOMIC_SPECIES
I 126.90 I.upf
As 74.92 As.upf
Ag 107.87 Ag.upf
ATOMIC_POSITIONS angstrom
I 0.0000 0.0000 0.0000
As -1.6170 -3.3214 0.1537
As -3.8095 -6.7720 1.4248
Ag -4.1740 -4.3667 0.1155
Ag -1.2524 -5.7267 1.4630
CELL_PARAMETERS angstrom
-3.9865 -1.8375 -2.2657
1.8567 -4.5574 0.4292
-3.2966 -3.6986 3.4149

! Na2CuCl3 PBE-GGA relaxed; values from VASP
! - relative energy among the computed polymorphs (eV per formula unit) = 0.00
! - formation energy without anion corrections (eV per formula unit) = -7.798
! - energy (eV per atom) = -3.3453
! - SG = Pnma (62)
&SYSTEM
  ibrav = 0, nat = 24, ntyp = 3
/
ATOMIC_SPECIES
Na 22.99 Na.upf
Cu 63.55 Cu.upf
Cl 35.45 Cl.upf
ATOMIC_POSITIONS angstrom
Na -2.6634 -0.5844 -2.3620
Na -10.0778 1.9777 0.1827
Na -13.3904 6.5536 3.8676
Na -5.9760 3.9914 1.3230
Na -11.4875 -1.9247 0.0084
Na -6.5437 0.2086 -1.1124
Na -4.5663 7.8939 1.4973
Na -9.5101 5.7606 2.6181
Cu -12.3564 4.6423 1.2462
Cu -7.4408 6.8292 0.1416
Cu -3.6974 1.3268 0.2595
Cu -8.6130 -0.8601 1.3640
Cl -14.6338 4.7462 1.9253
Cl -8.5588 4.7296 0.1526
Cl -1.4200 1.2230 -0.4197
Cl -7.4950 1.2395 1.3531
Cl -11.7319 6.8497 1.3951
Cl -5.3372 6.2254 -0.5619
Cl -4.3219 -0.8805 0.1105
Cl -10.7166 -0.2563 2.0675
Cl -8.6138 -1.7658 -0.8052
Cl -4.8999 2.7050 -1.2171
Cl -7.4400 7.7350 2.3108
Cl -11.1539 3.2641 2.7228
CELL_PARAMETERS angstrom
-1.0703 0.5507 -3.6729
-9.2667 -5.4469 1.8837
-5.7169 10.8654 3.2949

! CeLuI PBE-GGA relaxed; values from VASP
! - formation energy without anion corrections (eV per formula unit) = -0.408
! - energy (eV per atom) = -4.1376
! - SG = P3m1 (156)
&SYSTEM
  ibrav = 0, nat = 3, ntyp = 3
/
ATOMIC_SPECIES
I 126.90 I.upf
Lu 174.97 Lu.upf
Ce 140.12 Ce.upf
ATOMIC_POSITIONS angstrom
I 1.8354 0.0000 3.0801
Lu 1.8437 2.6675 1.5401
Ce 0.0027 0.0000 0.0000
CELL_PARAMETERS angstrom
3.6817 0.0000 0.0000
0.0000 5.3350 0.0000
0.0000 -2.6675 4.6202

! Sm2Hg5Au PBE-GGA relaxed; values from VASP
! - relative energy among the computed polymorphs (eV per formula unit) = 0.00
! - formation energy (eV/atom) = -0.372
! - energy (eV per atom) = -2.1499
! - SG = Pbam (55)
&SYSTEM
  ibrav = 0, nat = 16, ntyp = 3
/
ATOMIC_SPECIES
Sm 150.36 Sm.upf
Hg 200.59 Hg.upf
Au 196.97 Au.upf
ATOMIC_POSITIONS angstrom
Sm 1.1557 -3.0047 7.9731
Sm -2.9297 -4.1311 5.6517
Sm -1.8965 -0.4602 2.6742
Sm 0.1225 -6.6756 10.9506
Hg 0.0000 0.0000 0.0000
Hg 0.2649 -4.9805 5.4706
Hg 1.8187 -6.2725 8.1646
Hg -1.2888 -3.6885 2.7766
Hg 1.2611 -1.5478 2.7120
Hg -0.7312 -8.4132 8.2292
Hg 2.5242 -4.4536 10.6732
Hg -4.2982 -2.6822 2.9516
Hg -0.4555 -1.8457 5.3699
Hg -1.3185 -5.2901 8.2550
Au 2.7682 -2.7927 5.3164
Au -2.5033 -2.1878 0.1542
CELL_PARAMETERS angstrom
-2.3039 2.8252 2.6837
-5.0065 -4.3756 0.3084
5.5364 -5.5854 10.6328

! CaSn12Pd4 PBE-GGA relaxed; values from VASP
! - formation energy (eV/atom) = -0.314
! - energy (eV per atom) = -4.4791
! - SG = Im-3 (204)
&SYSTEM
  ibrav = 0, nat = 17, ntyp = 3
/
ATOMIC_SPECIES
Ca 40.08 Ca.upf
Sn 118.71 Sn.upf
Pd 106.42 Pd.upf
ATOMIC_POSITIONS angstrom
Ca 0.0000 0.0000 0.0000
Sn -3.6338 2.9393 -3.6901
Sn -1.9825 -1.3187 -2.7061
Sn -5.4923 3.3066 0.5804
Sn -4.7598 -0.2058 3.5725
Sn -2.3849 -4.8626 -2.4756
Sn -5.8946 -0.2372 0.8110
Sn -3.1460 1.7209 -0.3657
Sn -4.7312 -3.2769 -1.5294
Sn -3.1174 -1.3502 -5.4676
Sn -5.0905 0.4097 -3.0627
Sn -2.7867 -1.9656 1.1676
Sn -4.2434 -4.4953 1.7950
Pd -0.1956 -3.3077 -2.4570
Pd -1.6148 3.2576 -1.9485
Pd -3.9386 -0.7780 -0.9476
Pd -2.1282 -0.7279 3.4578
CELL_PARAMETERS angstrom
-3.2295 6.5152 -3.8969
-0.3912 -6.6154 -4.9139
-4.2564 -1.4557 6.9157

! LiTlH2Pd4 PBE-GGA relaxed; values from VASP
! - energy (eV per atom) = -4.1290
! - SG = P4/mmm (123)
&SYSTEM
  ibrav = 0, nat = 8, ntyp = 4
/
ATOMIC_SPECIES
Li 6.94 Li.upf
Tl 204.38 Tl.upf
H 1.01 H.upf
Pd 106.42 Pd.upf
ATOMIC_POSITIONS angstrom
Li 0.0000 0.0000 3.7224
Tl 0.0000 0.0000 0.0000
H 1.9563 1.9563 2.1227
H 1.9563 1.9563 5.3222
Pd 0.0000 1.9563 2.0694
Pd 1.9563 0.0000 5.3755
Pd 1.9563 0.0000 2.0694
Pd 0.0000 1.9563 5.3755
CELL_PARAMETERS angstrom
3.9127 0.0000 0.0000
0.0000 3.9127 0.0000
0.0000 0.0000 7.4449

! NbMoI2N PBE-GGA relaxed; values from VASP
! - relative energy among the computed polymorphs (eV per formula unit) = 0.00
! - formation energy without anion corrections (eV per formula unit) = 4.032
! - energy (eV per atom) = -5.6589
! - SG = P4/mmm (123)
&SYSTEM
  ibrav = 0, nat = 5, ntyp = 4
/
ATOMIC_SPECIES
I 126.90 I.upf
Mo 95.94 Mo.upf
Nb 92.91 Nb.upf
N 14.01 N.upf
ATOMIC_POSITIONS angstrom
I 0.0000 2.8960 0.0000
I 2.8960 0.0000 0.0000
Mo 2.8960 2.8960 1.9704
Nb 0.0000 0.0000 0.0000
N 0.0000 0.0000 1.9704
CELL_PARAMETERS angstrom
5.7920 0.0000 0.0000
0.0000 5.7920 0.0000
0.0000 0.0000 3.9409

! Na3Np2Te6Rh PBE-GGA relaxed; values from VASP
! - formation energy without anion corrections (eV per formula unit) = -8.089
! - energy (eV per atom) = -5.3441
! - SG = C2/m (12)
&SYSTEM
  ibrav = 0, nat = 12, ntyp = 4
/
ATOMIC_SPECIES
Na 22.99 Na.upf
Np 237.00 Np.upf
Te 127.60 Te.upf
Rh 102.91 Rh.upf
ATOMIC_POSITIONS angstrom
Na -2.5786 -5.3816 -1.6300
Na -4.0700 0.0367 4.6585
Na -3.3243 -2.6724 1.5143
Np -3.1452 -1.0453 -2.7071
Np -3.8999 1.6966 0.4751
Te -5.4965 -2.9166 3.8177
Te -5.3502 -0.8198 -0.5625
Te -1.1521 -2.4283 -0.7892
Te -4.8087 -5.4155 0.9175
Te -1.2984 -4.5251 3.5910
Te -1.8399 0.0706 2.1111
Rh 0.0000 0.0000 0.0000
CELL_PARAMETERS angstrom
-4.6585 4.4527 3.6739
-2.3866 -3.8014 -5.9059
0.3965 -5.9962 5.2605

Q: Which of these has the lowest energy?
A: CePuCdSi

Q: Which of these has the lowest energy?
A: CePuCdSi